Below is an optimized crystal structure of LaNd2SmBi4, with properties calculated at the GGA-PBE level.

```
LaNd2SmBi4
1.0
4.626 0.000 0.000
0.000 8.004 -0.159
0.000 2.816 7.491
Bi La Nd Sm
4 1 2 1
direct
0.000 0.251 0.246
0.500 0.248 0.754
0.000 0.749 0.754
0.500 0.752 0.246
0.000 0.500 0.500
0.000 0.000 0.000
0.500 0.000 0.500
0.500 0.500 0.000
```

Results
total DFT energy (no corrections): -42.45 eV for the cell shown
space-group type: P2/m, No. 10
energy of formation from the pure elements: -7.7 eV per formula unit
size of the total moment: 0.00 μB per cell

Below is an optimized crystal structure of La2NdSmBi5, with properties calculated at the GGA-PBE level.

```
La2NdSmBi5
1.0
5.529 0.000 0.000
0.000 5.529 0.000
0.000 0.000 12.146
La Bi Sm Nd
2 5 1 1
direct
0.500 0.500 0.722
0.500 0.500 0.278
0.500 0.500 0.000
0.000 0.000 0.248
0.000 0.500 0.500
0.500 0.000 0.500
0.000 0.000 0.752
0.000 0.000 0.500
0.000 0.000 0.000
```

Results
total DFT energy (no corrections): -40.75 eV for the cell shown
space-group type: P4/mmm, No. 123
energy of formation from the pure elements: -2.0 eV per formula unit
size of the total moment: 0.00 μB per cell

Below is an optimized crystal structure of LaNdSm2Bi4, with properties calculated at the GGA-PBE level.

```
LaNdSm2Bi4
1.0
4.613 0.000 0.000
0.000 7.977 -0.156
0.000 2.809 7.473
Sm La Bi Nd
2 1 4 1
direct
0.000 0.000 0.000
0.500 0.000 0.500
0.000 0.500 0.500
0.000 0.755 0.750
0.500 0.244 0.754
0.500 0.756 0.246
0.000 0.245 0.250
0.500 0.500 0.000
```

Results
total DFT energy (no corrections): -42.36 eV for the cell shown
space-group type: P2/m, No. 10
energy of formation from the pure elements: -7.7 eV per formula unit
size of the total moment: 0.00 μB per cell

> What is the formula in the second record?

La2NdSmBi5